The following is a DFT calculation (PBE) of ScUFe after structural relaxation.

Calculated values
For the formation energy, the calculation gives 944 meV per atom. The excess energy over the best structure of this formula in the dataset is 544.4 meV per atom.

abc: 4.285 4.285 4.285
angles: 60.00 60.00 60.00
Fractional positions:
Fe1 0.250 0.250 0.250
Sc1 0.750 0.750 0.750
U1 0.000 0.000 0.000